# 1
This record from Alexandria via LeMat-Bulk describes a PBEsol-optimized structure of ScCr2InRh. The functional is meta-GGA SCAN.

Cell: 4.710 4.710 4.789 Å, 90.00 90.00 90.00°
Fractional positions:
Sc: 0.000 0.000 0.000
Cr: 0.000 0.500 0.500
Cr: 0.500 0.000 0.500
In: 0.500 0.500 0.000
Rh: 0.000 0.000 0.500

Properties
* ρ: 5731 kg/m³
* ΔH_f (0 K): 0.320 eV/atom

# 2
This record from Alexandria via LeMat-Bulk describes a PBEsol-optimized structure of Cr2InRu. The functional is meta-GGA SCAN.

Cell: 4.339 4.339 4.339 Å, 60.00 60.00 60.00°
Fractional positions:
Cr: 0.000 0.000 0.000
Cr: 0.250 0.250 0.250
In: 0.500 0.500 0.500
Ru: 0.750 0.750 0.750

Properties
* ρ: 9194 kg/m³
* offset from the most stable computed form: 0.000 eV/atom
* ΔH_f (0 K): 0.042 eV/atom

# 3
This record from Alexandria via LeMat-Bulk describes a PBEsol-optimized structure of Cr2InRu. The functional is meta-GGA SCAN.

Cell: 2.736 2.736 8.339 Å, 90.00 90.00 114.83°
Fractional positions:
Cr: 0.000 0.000 0.000
Cr: 0.500 0.500 0.202
In: 0.000 0.000 0.482
Ru: 0.500 0.500 0.762

Properties
* ρ: 9377 kg/m³
* offset from the most stable computed form: 0.392 eV/atom
* ΔH_f (0 K): 0.434 eV/atom